1.
! Al2H12Se3O15 PBE-GGA optimized geometry; values from VASP
&SYSTEM
  ibrav = 0, nat = 64, ntyp = 4
/
ATOMIC_SPECIES
H 1.01 H.upf
O 16.00 O.upf
Al 26.98 Al.upf
Se 78.96 Se.upf
CELL_PARAMETERS angstrom
9.4017 0.0000 0.0000
-4.7009 8.1422 0.0000
0.0000 0.0000 10.6545
ATOMIC_POSITIONS crystal
H 0.4333 0.4771 0.4954
H 0.8464 0.3736 0.0759
H 0.1536 0.5272 0.5759
H 0.4728 0.6264 0.5759
H 0.5815 0.0751 0.3102
H 0.0437 0.5667 0.4954
H 0.9563 0.5229 0.9954
H 0.4935 0.4185 0.3102
H 0.5661 0.7922 0.7773
H 0.9249 0.5065 0.3102
H 0.5667 0.0437 0.9954
H 0.5272 0.1536 0.0759
H 0.7922 0.5661 0.2773
H 0.2262 0.4339 0.7773
H 0.2078 0.7738 0.7773
H 0.5229 0.9563 0.4954
H 0.0751 0.5815 0.8102
H 0.4339 0.2262 0.2773
H 0.3736 0.8464 0.5759
H 0.7738 0.2078 0.2773
H 0.4185 0.4935 0.8102
H 0.4771 0.4333 0.9954
H 0.5065 0.9249 0.8102
H 0.6264 0.4728 0.0759
O 0.8545 0.3749 0.7975
O 0.7241 0.6388 0.1685
O 0.5428 0.3826 0.0196
O 0.5107 0.8282 0.8416
O 0.6825 0.1718 0.3416
O 0.3612 0.0853 0.1685
O 0.6388 0.7241 0.6685
O 0.3826 0.5428 0.5196
O 0.4893 0.3175 0.3416
O 0.5204 0.1455 0.7975
O 0.1718 0.6825 0.8416
O 0.4791 0.6273 0.0431
O 0.5209 0.1482 0.5431
O 0.6174 0.1602 0.0196
O 0.3727 0.8518 0.0431
O 0.0853 0.3612 0.6685
O 0.3175 0.4893 0.8416
O 0.9147 0.2759 0.1685
O 0.8398 0.4572 0.0196
O 0.8282 0.5107 0.3416
O 0.2759 0.9147 0.6685
O 0.8518 0.3727 0.5431
O 0.6273 0.4791 0.5431
O 0.3749 0.8545 0.2975
O 0.6251 0.4796 0.7975
O 0.1482 0.5209 0.0431
O 0.4796 0.6251 0.2975
O 0.4572 0.8398 0.5196
O 0.1455 0.5204 0.2975
O 0.1602 0.6174 0.5196
Al 0.6667 0.3333 0.8918
Al 0.6667 0.3333 0.4513
Al 0.3333 0.6667 0.9513
Al 0.3333 0.6667 0.3918
Se 0.8777 0.2704 0.6703
Se 0.7296 0.6073 0.6703
Se 0.1223 0.3927 0.1703
Se 0.2704 0.8777 0.1703
Se 0.6073 0.7296 0.1703
Se 0.3927 0.1223 0.6703
! Symmetry: No. 159
! Total DFT energy (no corrections), Ry per atom: -0.396

***

2.
! GaSe2O6 PBE-GGA optimized geometry; values from VASP
&SYSTEM
  ibrav = 0, nat = 18, ntyp = 3
/
ATOMIC_SPECIES
O 16.00 O.upf
Se 78.96 Se.upf
Ga 69.72 Ga.upf
CELL_PARAMETERS angstrom
5.7108 -0.2625 -0.2541
1.3749 6.4268 -0.6252
1.3749 -0.4166 6.4436
ATOMIC_POSITIONS crystal
O 0.4711 0.2930 0.4941
O 0.1137 0.8131 0.9600
O 0.5289 0.7070 0.5059
O 0.8119 0.9634 0.3695
O 0.0289 0.5059 0.7070
O 0.3863 0.0400 0.1869
O 0.9711 0.4941 0.2930
O 0.3119 0.3695 0.9634
O 0.8863 0.1869 0.0400
O 0.6137 0.9600 0.8131
O 0.1881 0.0366 0.6305
O 0.6881 0.6305 0.0366
Se 0.7318 0.4385 0.1951
Se 0.2682 0.5615 0.8049
Se 0.2318 0.1951 0.4385
Se 0.7682 0.8049 0.5615
Ga 0.2500 0.0801 0.9199
Ga 0.7500 0.9199 0.0801
! Symmetry: No. 15
! Formation energy without anion corrections, eV per atom: -0.80

***

3.
! Tb2SmDy6Ho3 PBE-GGA optimized geometry; values from VASP
&SYSTEM
  ibrav = 0, nat = 12, ntyp = 4
/
ATOMIC_SPECIES
Sm 150.36 Sm.upf
Ho 164.93 Ho.upf
Dy 162.50 Dy.upf
Tb 158.93 Tb.upf
CELL_PARAMETERS angstrom
6.1397 0.0019 0.0118
-3.0667 5.3189 0.0118
-1.0398 -1.8004 11.5660
ATOMIC_POSITIONS crystal
Sm 0.0000 0.0000 0.0000
Ho 0.5000 0.5000 0.5000
Ho 0.1668 0.8332 0.5000
Ho 0.8332 0.1668 0.5000
Dy 0.4182 0.0846 0.2516
Dy 0.0846 0.4182 0.2516
Dy 0.2491 0.2491 0.7484
Dy 0.7509 0.7509 0.2516
Dy 0.5818 0.9154 0.7484
Dy 0.9154 0.5818 0.7484
Tb 0.3333 0.6667 0.0000
Tb 0.6667 0.3333 0.0000
! Energy relative to the elements, meV/atom: 16
! Symmetry: No. 12

***

4.
! TaCoCu2 PBE-GGA optimized geometry; values from VASP
&SYSTEM
  ibrav = 0, nat = 4, ntyp = 3
/
ATOMIC_SPECIES
Cu 63.55 Cu.upf
Co 58.93 Co.upf
Ta 180.95 Ta.upf
CELL_PARAMETERS angstrom
-2.0461 0.3115 -3.7617
-2.0507 -1.2905 1.0086
-2.7230 3.5739 1.7771
ATOMIC_POSITIONS crystal
Cu 0.0000 0.5833 0.5154
Cu 0.0000 0.9167 0.9846
Co 0.5000 0.7500 0.7500
Ta 0.5000 0.2500 0.2500
! Energy relative to the elements, meV/atom: 143
! Symmetry: No. 10

***

5.
! MnBIr PBE-GGA optimized geometry; values from VASP
&SYSTEM
  ibrav = 0, nat = 3, ntyp = 3
/
ATOMIC_SPECIES
Mn 54.94 Mn.upf
B 10.81 B.upf
Ir 192.22 Ir.upf
CELL_PARAMETERS angstrom
-2.5721 -0.0893 0.6878
-0.3193 -2.1926 -1.4789
2.4569 -1.3398 3.8552
ATOMIC_POSITIONS crystal
Mn 0.2572 0.2572 0.5145
B 0.6251 0.6251 0.2502
Ir 0.9677 0.9677 0.9353
! Energy relative to the elements, meV/atom: -55
! Symmetry: No. 107

***

6.
! ScTc2SnC PBE-GGA optimized geometry; values from VASP
&SYSTEM
  ibrav = 0, nat = 5, ntyp = 4
/
ATOMIC_SPECIES
C 12.01 C.upf
Tc 98.00 Tc.upf
Sn 118.71 Sn.upf
Sc 44.96 Sc.upf
CELL_PARAMETERS angstrom
-2.2571 -2.7800 2.1388
3.1436 -2.7315 -0.2328
1.6368 1.5634 3.7595
ATOMIC_POSITIONS crystal
C 0.0000 0.0000 0.0000
Tc 0.0000 0.5000 0.0000
Tc 0.5000 0.0000 0.0000
Sn 0.5000 0.5000 0.5000
Sc 0.0000 0.0000 0.5000
! Energy relative to the elements, meV/atom: -165
! Symmetry: No. 123

***

7.
! LaEr2Au4 PBE-GGA optimized geometry; values from VASP
&SYSTEM
  ibrav = 0, nat = 7, ntyp = 3
/
ATOMIC_SPECIES
Er 167.26 Er.upf
Au 196.97 Au.upf
La 138.91 La.upf
CELL_PARAMETERS angstrom
5.0802 0.0000 0.0000
0.0000 5.0802 0.0000
0.0000 0.0000 6.9312
ATOMIC_POSITIONS crystal
Er 0.5000 0.5000 0.5000
Er 0.0000 0.0000 0.0000
Au 0.0000 0.5000 0.7370
Au 0.0000 0.5000 0.2630
Au 0.5000 0.0000 0.7370
Au 0.5000 0.0000 0.2630
La 0.5000 0.5000 0.0000
! Energy relative to the elements, meV/atom: -605
! Symmetry: No. 123

***

8.
! NiAgTeN2 PBE-GGA optimized geometry; values from VASP
&SYSTEM
  ibrav = 0, nat = 5, ntyp = 4
/
ATOMIC_SPECIES
N 14.01 N.upf
Te 127.60 Te.upf
Ni 58.69 Ni.upf
Ag 107.87 Ag.upf
CELL_PARAMETERS angstrom
3.7900 0.0000 0.0000
0.0000 3.7900 0.0000
0.0000 0.0000 5.5377
ATOMIC_POSITIONS crystal
N 0.0000 0.5000 0.0000
N 0.5000 0.0000 0.0000
Te 0.0000 0.0000 0.5000
Ni 0.0000 0.0000 0.0000
Ag 0.5000 0.5000 0.5000
! Symmetry: No. 123
! Formation energy without anion corrections, eV per atom: 1.28

***

9.
! SmSi3Rh PBE-GGA optimized geometry; values from VASP
&SYSTEM
  ibrav = 0, nat = 5, ntyp = 3
/
ATOMIC_SPECIES
Rh 102.91 Rh.upf
Si 28.09 Si.upf
Sm 150.36 Sm.upf
CELL_PARAMETERS angstrom
5.7503 -0.0049 0.0000
2.6702 5.0927 0.0000
-4.2103 -2.5439 2.9780
ATOMIC_POSITIONS crystal
Rh 0.6535 0.6535 0.0000
Si 0.4141 0.4141 0.0000
Si 0.7641 0.2641 0.5000
Si 0.2641 0.7641 0.5000
Sm 0.9982 0.9982 0.0000
! Symmetry: No. 107
! Formation energy without anion corrections, eV per atom: -0.80

***

10.
! Li2YCd PBE-GGA optimized geometry; values from VASP
&SYSTEM
  ibrav = 0, nat = 4, ntyp = 3
/
ATOMIC_SPECIES
Li 6.94 Li.upf
Cd 112.41 Cd.upf
Y 88.91 Y.upf
CELL_PARAMETERS angstrom
-2.8444 -3.5691 -0.9590
1.1415 -1.9568 3.8969
-3.3848 2.1421 2.0671
ATOMIC_POSITIONS crystal
Li 0.0000 0.0000 0.0000
Li 0.0000 0.5000 0.5000
Cd 0.5000 0.0000 0.5000
Y 0.5000 0.5000 0.0000
! Energy relative to the elements, meV/atom: -11
! Symmetry: No. 123

***

11.
! TcH2IrOs PBE-GGA optimized geometry; values from VASP
&SYSTEM
  ibrav = 0, nat = 5, ntyp = 4
/
ATOMIC_SPECIES
Ir 192.22 Ir.upf
Tc 98.00 Tc.upf
H 1.01 H.upf
Os 190.23 Os.upf
CELL_PARAMETERS angstrom
-1.4157 1.5010 -2.8246
0.9295 -4.2477 -2.7230
-3.1353 -1.2631 0.9002
ATOMIC_POSITIONS crystal
Ir 0.0000 0.0000 0.0000
Tc 0.5000 0.5000 0.5000
H 0.0000 0.0000 0.5000
H 0.5000 0.0000 0.0000
Os 0.0000 0.5000 0.0000
! Symmetry: No. 123
! Total DFT energy (no corrections), Ry per atom: -0.480

***

12.
! YCr2Pb PBE-GGA optimized geometry; values from VASP
&SYSTEM
  ibrav = 0, nat = 4, ntyp = 3
/
ATOMIC_SPECIES
Pb 207.20 Pb.upf
Y 88.91 Y.upf
Cr 52.00 Cr.upf
CELL_PARAMETERS angstrom
5.2804 -0.4321 -0.3532
1.8909 4.9491 0.3532
-3.2669 -2.7646 3.1430
ATOMIC_POSITIONS crystal
Pb 0.4940 0.4940 0.0000
Y 0.7579 0.2579 0.5000
Cr 0.2269 0.7269 0.5000
Cr 0.0211 0.0211 0.0000
! Energy relative to the elements, meV/atom: 301
! Symmetry: No. 44

***

13.
! Nd7SmIn4 PBE-GGA optimized geometry; values from VASP
&SYSTEM
  ibrav = 0, nat = 12, ntyp = 3
/
ATOMIC_SPECIES
Nd 144.24 Nd.upf
Sm 150.36 Sm.upf
In 114.82 In.upf
CELL_PARAMETERS angstrom
-1.3218 -5.0725 -2.5841
8.0303 -5.1943 -0.5201
-1.0566 -5.7993 5.3155
ATOMIC_POSITIONS crystal
Nd 0.2053 0.1203 0.4691
Nd 0.2818 0.6566 0.7799
Nd 0.9373 0.3924 0.7330
Nd 0.5000 0.0000 0.0000
Nd 0.7182 0.3434 0.2201
Nd 0.0627 0.6076 0.2670
Nd 0.7947 0.8797 0.5309
Sm 0.0000 0.0000 0.0000
In 0.6814 0.6674 0.9698
In 0.5574 0.2454 0.6398
In 0.4426 0.7546 0.3602
In 0.3186 0.3326 0.0302
! Energy relative to the elements, meV/atom: -145
! Symmetry: No. 12

***

14.
! K3Tl3Bi2 PBE-GGA optimized geometry; values from VASP
&SYSTEM
  ibrav = 0, nat = 16, ntyp = 3
/
ATOMIC_SPECIES
K 39.10 K.upf
Bi 208.98 Bi.upf
Tl 204.38 Tl.upf
CELL_PARAMETERS angstrom
-2.3586 4.5459 1.1376
-2.3163 -2.7226 -6.0191
-13.1679 -9.1342 9.1991
ATOMIC_POSITIONS crystal
K 0.6409 0.2817 0.2500
K 0.0754 0.1507 0.6052
K 0.0754 0.1507 0.8948
K 0.3591 0.7183 0.7500
K 0.9246 0.8493 0.3948
K 0.9246 0.8493 0.1052
Bi 0.7879 0.5759 0.8827
Bi 0.7879 0.5759 0.6173
Bi 0.2121 0.4241 0.1173
Bi 0.2121 0.4241 0.3827
Tl 0.3640 0.7279 0.5283
Tl 0.3640 0.7279 0.9717
Tl 0.6360 0.2721 0.4717
Tl 0.6368 0.2737 0.7500
Tl 0.3631 0.7263 0.2500
Tl 0.6360 0.2721 0.0283
! Energy relative to the elements, meV/atom: -256
! Symmetry: No. 63

***

15.
! Pu2In2Te7 PBE-GGA optimized geometry; values from VASP
&SYSTEM
  ibrav = 0, nat = 11, ntyp = 3
/
ATOMIC_SPECIES
Pu 244.00 Pu.upf
Te 127.60 Te.upf
In 114.82 In.upf
CELL_PARAMETERS angstrom
-2.4008 6.2502 -5.6135
-6.2888 -0.1019 4.4687
6.3750 3.2945 2.8344
ATOMIC_POSITIONS crystal
Pu 0.0000 0.6761 0.3239
Pu 0.0000 0.3239 0.6761
Te 0.2272 0.4716 0.0856
Te 0.5000 0.0000 0.0000
Te 0.2272 0.0856 0.4716
Te 0.8037 0.3007 0.3007
Te 0.7728 0.9144 0.5284
Te 0.7728 0.5284 0.9144
Te 0.1963 0.6993 0.6993
In 0.3874 0.3223 0.3223
In 0.6126 0.6777 0.6777
! Symmetry: No. 12
! Formation energy without anion corrections, eV per atom: -0.40

***

16.
! Y5Ge5Pt2 PBE-GGA optimized geometry; values from VASP
&SYSTEM
  ibrav = 0, nat = 12, ntyp = 3
/
ATOMIC_SPECIES
Y 88.91 Y.upf
Ge 72.64 Ge.upf
Pt 195.08 Pt.upf
CELL_PARAMETERS angstrom
-2.1984 -3.5188 1.0109
3.3804 -2.8266 6.5323
-6.5026 2.8396 4.7635
ATOMIC_POSITIONS crystal
Y 0.0000 0.5000 0.5000
Y 0.3069 0.3062 0.0800
Y 0.6931 0.6938 0.9200
Y 0.3733 0.9298 0.3237
Y 0.6267 0.0702 0.6763
Ge 0.9457 0.2993 0.8093
Ge 0.0543 0.7007 0.1907
Ge 0.0000 0.0000 0.0000
Ge 0.7264 0.2111 0.3362
Ge 0.2736 0.7889 0.6638
Pt 0.6120 0.5285 0.2475
Pt 0.3880 0.4715 0.7525
! Energy relative to the elements, meV/atom: -933
! Symmetry: No. 12

***

17.
! La3Pr3SmTe8 PBE-GGA optimized geometry; values from VASP
&SYSTEM
  ibrav = 0, nat = 15, ntyp = 4
/
ATOMIC_SPECIES
Pr 140.91 Pr.upf
Te 127.60 Te.upf
Sm 150.36 Sm.upf
La 138.91 La.upf
CELL_PARAMETERS angstrom
9.0529 0.0000 0.0001
-4.5265 7.8409 -0.0275
-0.0001 -5.2018 7.4626
ATOMIC_POSITIONS crystal
Pr 0.0000 0.5000 0.5000
Pr 0.5000 0.5000 0.5000
Pr 0.5000 0.0000 0.5000
Te 0.2504 0.5008 0.7488
Te 0.2506 0.5013 0.2521
Te 0.2518 0.0015 0.2512
Te 0.7494 0.4987 0.7479
Te 0.7496 0.4992 0.2512
Te 0.7497 0.0016 0.2512
Te 0.2503 0.9984 0.7488
Te 0.7482 0.9985 0.7488
Sm 0.0000 0.0000 0.5000
La 0.5000 0.5000 0.0000
La 0.0000 0.5000 0.0000
La 0.0000 0.0000 0.0000
! Symmetry: No. 166
! Formation energy without anion corrections, eV per atom: -1.53

***

18.
! MnIBr3 PBE-GGA optimized geometry; values from VASP
&SYSTEM
  ibrav = 0, nat = 20, ntyp = 3
/
ATOMIC_SPECIES
I 126.90 I.upf
Br 79.90 Br.upf
Mn 54.94 Mn.upf
CELL_PARAMETERS angstrom
7.4931 0.0000 0.0697
0.0000 11.0557 0.0000
0.3305 0.0000 11.2958
ATOMIC_POSITIONS crystal
I 0.0479 0.9685 0.6272
I 0.9521 0.9685 0.8728
I 0.0479 0.0315 0.1272
I 0.9521 0.0315 0.3728
Br 0.9052 0.3756 0.9149
Br 0.3454 0.3239 0.9978
Br 0.6546 0.3239 0.5022
Br 0.7873 0.6344 0.7116
Br 0.9052 0.6244 0.4149
Br 0.0948 0.3756 0.5851
Br 0.3454 0.6761 0.4978
Br 0.7873 0.3656 0.2116
Br 0.2127 0.3656 0.2884
Br 0.6546 0.6761 0.0022
Br 0.0948 0.6244 0.0851
Br 0.2127 0.6344 0.7884
Mn 0.0766 0.6183 0.5934
Mn 0.9234 0.3817 0.4066
Mn 0.0766 0.3817 0.0934
Mn 0.9234 0.6183 0.9066
! Symmetry: No. 13
! Formation energy without anion corrections, eV per atom: -0.49

***

19.
! TlSbTe2 PBE-GGA optimized geometry; values from VASP
&SYSTEM
  ibrav = 0, nat = 4, ntyp = 3
/
ATOMIC_SPECIES
Sb 121.76 Sb.upf
Te 127.60 Te.upf
Tl 204.38 Tl.upf
CELL_PARAMETERS angstrom
1.9624 0.0000 12.3006
-0.9812 1.6995 12.3006
-0.9812 -1.6995 12.3006
ATOMIC_POSITIONS crystal
Sb 0.0000 0.0000 0.0000
Te 0.0833 0.0833 0.0833
Te 0.9167 0.9167 0.9167
Tl 0.5000 0.5000 0.5000
! Symmetry: No. 166
! Formation energy without anion corrections, eV per atom: 0.10

***

20.
! LaMgCrS4 PBE-GGA optimized geometry; values from VASP
&SYSTEM
  ibrav = 0, nat = 14, ntyp = 4
/
ATOMIC_SPECIES
S 32.06 S.upf
La 138.91 La.upf
Mg 24.30 Mg.upf
Cr 52.00 Cr.upf
CELL_PARAMETERS angstrom
6.0512 0.3344 4.8103
-1.1902 7.5872 0.9412
-5.5989 -5.1447 1.4327
ATOMIC_POSITIONS crystal
S 0.7234 0.2323 0.0089
S 0.2766 0.7677 0.9911
S 0.2766 0.2855 0.5089
S 0.7025 0.7398 0.9627
S 0.7229 0.2602 0.4627
S 0.7234 0.7145 0.4911
S 0.2975 0.2602 0.0373
S 0.2771 0.7398 0.5373
La 0.0000 0.0000 0.0000
La 0.5000 0.0000 0.5000
Mg 0.8698 0.6198 0.2500
Mg 0.1302 0.3802 0.7500
Cr 0.5000 0.0000 0.0000
Cr 0.5000 0.5000 0.5000
! Symmetry: No. 74
! Formation energy without anion corrections, eV per atom: -1.28

***

21.
! CdCoSb3 PBE-GGA optimized geometry; values from VASP
&SYSTEM
  ibrav = 0, nat = 5, ntyp = 3
/
ATOMIC_SPECIES
Sb 121.76 Sb.upf
Co 58.93 Co.upf
Cd 112.41 Cd.upf
CELL_PARAMETERS angstrom
-3.6940 -3.3452 -0.5599
0.8007 -0.0556 -4.9503
3.2959 -3.7358 0.5751
ATOMIC_POSITIONS crystal
Sb 0.5000 0.0000 0.0000
Sb 0.0000 0.0000 0.5000
Sb 0.0000 0.5000 0.0000
Co 0.0000 0.0000 0.0000
Cd 0.5000 0.5000 0.5000
! Symmetry: No. 221
! Formation energy without anion corrections, eV per atom: 0.32